DFT (PBE) results for UTlSbO6 after structural relaxation.

Summary:
volume: 17.9 Å³/atom
ΔE_f (raw): -2.070 eV/atom
M_tot: 0.000 μB per atom

Structure (POSCAR):
```
UTlSbO6
1.0
-7.587 0.148 2.427
1.517 -5.231 5.061
4.269 6.403 -0.122
U Tl Sb O
2 2 2 12
Direct
0.500 0.000 0.500 U
0.000 0.000 0.500 U
0.813 0.563 0.626 Tl
0.187 0.437 0.374 Tl
0.500 0.500 0.000 Sb
0.500 0.000 0.000 Sb
0.431 0.681 0.863 O
0.814 0.064 0.628 O
0.804 0.072 0.251 O
0.447 0.679 0.251 O
0.447 0.072 0.251 O
0.804 0.679 0.251 O
0.569 0.319 0.137 O
0.186 0.936 0.372 O
0.196 0.928 0.749 O
0.553 0.321 0.749 O
0.553 0.928 0.749 O
0.196 0.321 0.749 O
```